Below is a geometry-optimized ReAgBr2 structure, with properties calculated at the PBE level.

Lattice parameters (Å, degrees): 3.072 4.904 14.002 90.00 90.00 90.00
Space group Immm (No. 71)
One atom of each set of equivalent atoms:
Re 0.000 0.000 0.000
Ag 0.000 0.000 0.500
Br 0.000 0.500 0.354

Results
ρ (Mg/m³): 7.15
ΔE to the lowest computed polymorph (meV per atom): 11
Energy relative to the elements, uncorrected (eV/f.u.): 1.80
Uncorrected energy (eV per cell): -33.70